Na3Y3IrO8: relaxed, PBE-GGA.

Values from the calculation:
As for the density: 5032 kg/m3. The value obtained for the size of the total moment is 1.05 μB/f.u. The formation energy (no corrections) is -2335 meV per atom.

```
data_Na3Y3IrO8
_chemical_formula_sum 'Na9 Y9 Ir3 O24'
_space_group_name_H-M_alt 'R -3 m'
_space_group_IT_number 166
_space_group_name_Hall '-R 3 2"'
_cell_length_a 6.7046
_cell_length_b 6.7046
_cell_length_c 16.6800
_cell_angle_alpha 90.00
_cell_angle_beta 90.00
_cell_angle_gamma 120.00
loop_
_atom_site_label
_atom_site_fract_x
_atom_site_fract_y
_atom_site_fract_z
Na1 0.0000 0.5000 0.0000
Y1 0.0000 0.5000 0.5000
Ir1 0.0000 0.0000 0.5000
O1 0.0000 0.0000 0.2367
O2 0.0282 0.5141 0.2338
```



MnMo2Os: relaxed, PBE-GGA.

Values from the calculation:
As for the density: 12545 kg/m3. The formation energy from the elements comes out at 102 kJ/mol of formula units. The value obtained for the size of the total moment is 0.00 μB/f.u. As for the energy above the most stable polymorph in this dataset: 0.69 eV/f.u.

```
data_MnMo2Os
_chemical_formula_sum 'Mn4 Mo8 Os4'
_space_group_name_H-M_alt 'F m -3 m'
_space_group_IT_number 225
_space_group_name_Hall '-F 4 2 3'
_cell_length_a 6.1394
_cell_length_b 6.1394
_cell_length_c 6.1394
_cell_angle_alpha 90.00
_cell_angle_beta 90.00
_cell_angle_gamma 90.00
loop_
_atom_site_label
_atom_site_fract_x
_atom_site_fract_y
_atom_site_fract_z
Mn1 0.0000 0.0000 0.0000
Mo1 0.2500 0.2500 0.2500
Os1 0.0000 0.0000 0.5000
```



NbInS3: relaxed, PBE-GGA.

Values from the calculation:
As for the density: 4687 kg/m3. The value obtained for the size of the total moment is 0.00 μB/f.u. As for the energy above the most stable polymorph in this dataset: 0.00 eV/f.u. The formation energy (no corrections) is -736 meV per atom.

```
data_NbInS3
_chemical_formula_sum 'Nb2 In2 S6'
_space_group_name_H-M_alt 'P 1 21/m 1'
_space_group_IT_number 11
_cell_length_a 6.9011
_cell_length_b 3.6333
_cell_length_c 8.6094
_cell_angle_alpha 90.00
_cell_angle_beta 93.95
_cell_angle_gamma 90.00
loop_
_space_group_symop_operation_xyz
'x,y,z'
'-x,-y,-z'
'-x,y+1/2,-z'
'x,-y+1/2,z'
loop_
_atom_site_label
_atom_site_fract_x
_atom_site_fract_y
_atom_site_fract_z
Nb1 0.0824 0.2500 0.1242
In1 0.3515 0.2500 0.6410
S1 0.0033 0.2500 0.6775
S2 0.2527 0.7500 0.9897
S3 0.3956 0.2500 0.3321
```



Hf2MoH2: relaxed, PBE-GGA.

Values from the calculation:
As for the density: 11804 kg/m3. The value obtained for the size of the total moment is 0.00 μB/f.u. As for the energy above the most stable polymorph in this dataset: 0.00 eV/f.u.

```
data_Hf2MoH2
_chemical_formula_sum 'Hf4 Mo2 H4'
_space_group_name_H-M_alt 'I 4/m m m'
_space_group_IT_number 139
_space_group_name_Hall '-I 4 2'
_cell_length_a 3.3129
_cell_length_b 3.3129
_cell_length_c 11.6619
_cell_angle_alpha 90.00
_cell_angle_beta 90.00
_cell_angle_gamma 90.00
loop_
_atom_site_label
_atom_site_fract_x
_atom_site_fract_y
_atom_site_fract_z
Hf1 0.0000 0.0000 0.1404
Mo1 0.0000 0.0000 0.5000
H1 0.0000 0.5000 0.2500
```



TaNb2In2Se6: relaxed, PBE-GGA.

Values from the calculation:
As for the density: 6436 kg/m3. The value obtained for the size of the total moment is 0.00 μB/f.u. The formation energy (no corrections) is -636 meV per atom.

```
data_TaNb2In2Se6
_chemical_formula_sum 'Ta2 Nb4 In4 Se12'
_space_group_name_H-M_alt 'C 1 2/m 1'
_space_group_IT_number 12
_cell_length_a 6.1093
_cell_length_b 10.9243
_cell_length_c 8.4896
_cell_angle_alpha 90.00
_cell_angle_beta 102.92
_cell_angle_gamma 90.00
loop_
_space_group_symop_operation_xyz
'x,y,z'
'-x,-y,-z'
'-x,y,-z'
'x,-y,z'
'x+1/2,y+1/2,z'
'-x+1/2,-y+1/2,-z'
'-x+1/2,y+1/2,-z'
'x+1/2,-y+1/2,z'
loop_
_atom_site_label
_atom_site_fract_x
_atom_site_fract_y
_atom_site_fract_z
Ta1 0.0000 0.0000 0.0000
Nb1 0.0000 0.3665 0.0000
In1 0.0000 0.1885 0.5000
Se1 0.2190 0.1718 0.1851
Se2 0.2500 0.0000 0.7789
```